Record 1
The following is a PBE calculation of a geometry-optimized BaLuBeAu structure, from OQMD.

abc: 5.101 5.101 5.101
angles: 60.00 60.00 60.00
Positions (direct):
Ba 0.000 0.000 0.000
Lu 0.250 0.250 0.250
Be 0.500 0.500 0.500
Au 0.750 0.750 0.750

Computed properties:
Electronic total energy: -3.09 eV/atom
Size of the total moment: 0.00 μB per cell
Density: 9.169 g cm⁻³
Volume: 94 Å³/cell



Record 2
The following is a PBE calculation of a geometry-optimized Rb3NaAg2As2 structure, from OQMD.

abc: 6.069 6.466 6.549
angles: 77.36 89.93 89.95
Positions (direct):
Rb 0.000 0.000 0.000
Rb 0.000 0.358 0.333
Rb 0.500 0.077 0.625
Na 0.499 0.693 0.312
Ag 0.249 0.550 0.800
Ag 0.752 0.550 0.799
As 0.001 0.798 0.538
As 0.500 0.325 0.074

Computed properties:
Electronic total energy: -2.74 eV/atom
Density: 4.271 g cm⁻³
Volume: 251 Å³/cell



Record 3
The following is a PBE calculation of a geometry-optimized GdInPbSe3 structure, from OQMD.

abc: 7.575 7.575 11.701
angles: 90.00 90.00 148.35
Positions (direct):
Gd 0.000 0.000 0.000
Gd 0.000 0.000 0.500
In 0.350 0.650 0.750
In 0.650 0.350 0.250
Pb 0.337 0.663 0.250
Pb 0.663 0.337 0.750
Se 0.005 0.995 0.250
Se 0.362 0.638 0.501
Se 0.362 0.638 0.999
Se 0.638 0.362 0.001
Se 0.638 0.362 0.499
Se 0.995 0.005 0.750

Computed properties:
Electronic total energy: -4.52 eV/atom
Size of the total moment: 0.01 μB per cell
Density: 6.750 g cm⁻³
Volume: 352 Å³/cell



Record 4
The following is a PBE calculation of a geometry-optimized Ga2CuB structure, from OQMD.

abc: 4.270 4.270 4.270
angles: 60.00 60.00 60.00
Positions (direct):
Ga 0.000 0.000 0.000
Ga 0.250 0.250 0.250
Cu 0.750 0.750 0.750
B 0.500 0.500 0.500

Computed properties:
Electronic total energy: -3.34 eV/atom
Density: 6.448 g cm⁻³
Volume: 55 Å³/cell



Record 5
The following is a PBE calculation of a geometry-optimized SrGaNi structure, from OQMD.

abc: 4.643 4.643 4.643
angles: 60.00 60.00 60.00
Positions (direct):
Sr 0.000 0.000 0.000
Ga 0.500 0.500 0.500
Ni 0.750 0.750 0.750

Computed properties:
Electronic total energy: -3.46 eV/atom
Size of the total moment: 0.00 μB per cell
Density: 5.070 g cm⁻³
Volume: 71 Å³/cell



Record 6
The following is a PBE calculation of a geometry-optimized MgAlAg2 structure, from OQMD.

abc: 4.459 4.459 8.530
angles: 90.00 90.00 120.00
Positions (direct):
Mg 0.333 0.667 0.250
Mg 0.667 0.333 0.750
Al 0.000 0.000 0.000
Al 0.000 0.000 0.500
Ag 0.333 0.667 0.585
Ag 0.333 0.667 0.915
Ag 0.667 0.333 0.085
Ag 0.667 0.333 0.415

Computed properties:
Electronic total energy: -2.89 eV/atom
Density: 6.037 g cm⁻³
Volume: 147 Å³/cell



Among the records above, which one has the highest electronic total energy?
Rb3NaAg2As2